ZnI | PBE-GGA | optimized geometry

```
2
Lattice="-2.501 2.288 -2.222 1.955 -3.112 -1.708 -3.052 -2.430 0.933" Properties=species:S:1:pos:R:3 pbc="T T T"
I -3.305 -1.335 -1.351
Zn -0.293 -1.919 -1.646
```

Properties
Space-group type: P-6m2, No. 187


ZnI | PBE-GGA | optimized geometry

```
2
Lattice="-2.426 -3.741 -1.915 -3.565 0.800 -3.193 0.621 -1.159 -4.671" Properties=species:S:1:pos:R:3 pbc="T T T"
I 0.000 0.000 0.000
Zn -1.342 -1.025 -2.445
```

Properties
Space-group type: F-43m, No. 216


ZnI6 | PBE-GGA | optimized geometry

```
7
Lattice="-0.866 -0.050 -4.666 -4.152 -6.339 1.433 -7.364 5.491 1.794" Properties=species:S:1:pos:R:3 pbc="T T T"
Zn 0.000 0.000 0.000
I -10.143 -0.154 -0.546
I -6.869 2.550 0.934
I -4.613 1.054 0.200
I -2.240 -0.743 -0.893
I -7.769 -1.951 -1.638
I -5.514 -3.447 -2.373
```

Properties
Space-group type: P-1, No. 2


ZnI | PBE-GGA | optimized geometry

```
2
Lattice="3.286 -2.617 1.044 -0.034 -4.134 -1.283 2.755 -1.340 -3.058" Properties=species:S:1:pos:R:3 pbc="T T T"
Zn 3.004 -4.046 -1.649
I 0.000 0.000 0.000
```

Properties
Space-group type: Fm-3m, No. 225


ZnI | PBE-GGA | optimized geometry

```
2
Lattice="2.126 1.228 3.626 -2.126 1.228 3.626 0.000 -2.455 3.626" Properties=species:S:1:pos:R:3 pbc="T T T"
Zn 0.000 0.000 5.439
I 0.000 0.000 0.000
```

Properties
Space-group type: R-3m, No. 166


ZrI4 | PBE-GGA | optimized geometry

```
20
Lattice="4.189 -7.040 0.000 4.189 7.040 0.000 0.000 0.000 15.057" Properties=species:S:1:pos:R:3 pbc="T T T"
I 6.283 -3.341 10.917
I 4.189 6.991 12.014
I 2.095 -3.341 10.917
I 4.189 -3.438 14.392
I 4.189 -0.049 12.014
I 4.189 -3.602 6.864
I 4.189 0.049 4.486
I 6.283 3.341 3.389
I 4.189 3.438 6.863
I 4.189 -6.991 4.485
I 4.189 3.602 14.393
I 2.097 -0.148 0.432
I 2.095 3.341 3.389
I 2.097 0.148 7.961
I 6.280 0.148 7.961
I 6.280 -0.148 0.432
Zr 6.284 -1.743 13.203
Zr 2.093 -1.743 13.203
Zr 2.093 1.743 5.674
Zr 6.284 1.743 5.674
```

Properties
Total magnetization, μB/cell: 0.0
Space-group type: Pmc2_1, No. 26


| no. | final energy (eV per atom) |
| --- | --- |
| 1 | -1.37 |
| 2 | -1.30 |
| 3 | -1.64 |
| 4 | -1.43 |
| 5 | -1.42 |
| 6 | -3.79 |